Arrangement a

First-principles (PBE) data for a geometry-optimized CsRbPb2 structure, as listed in the Alexandria database.

Geometry as POSCAR:
```
CsRbPb2
1.0
-5.399 5.399 3.323
5.399 -5.399 3.323
5.399 5.399 -3.323
Cs Rb Pb
2 2 4
direct
0.000 0.000 0.000
0.750 0.250 0.500
0.250 0.750 0.500
0.500 0.500 0.000
0.134 0.625 0.009
0.375 0.384 0.509
0.616 0.125 0.991
0.875 0.866 0.491
```

Arrangement b

First-principles (PBE) data for a geometry-optimized CsRbPb2 structure, as listed in the Alexandria database.

Geometry as POSCAR:
```
CsRbPb2
1.0
7.607 0.000 0.000
0.000 8.638 0.000
0.000 0.000 11.745
Cs Rb Pb
4 4 8
direct
0.002 0.250 0.214
0.498 0.750 0.714
0.502 0.250 0.286
0.998 0.750 0.786
0.152 0.750 0.136
0.348 0.250 0.636
0.652 0.750 0.364
0.848 0.250 0.864
0.162 0.577 0.447
0.162 0.923 0.447
0.338 0.077 0.947
0.338 0.423 0.947
0.662 0.577 0.053
0.662 0.923 0.053
0.838 0.077 0.553
0.838 0.423 0.553
```

Most stable structure, least stable structure: arrangement b, arrangement a.

Arrangement a

First-principles (PBE) data for a geometry-optimized CsRePb2 structure, as listed in the Alexandria database.

Geometry as POSCAR:
```
CsRePb2
1.0
0.000 3.857 3.857
3.857 0.000 3.857
3.857 3.857 0.000
Cs Re Pb
1 1 2
direct
0.000 0.000 0.000
0.500 0.500 0.500
0.250 0.250 0.250
0.750 0.750 0.750
```

Arrangement b

First-principles (PBE) data for a geometry-optimized CsRePb2 structure, as listed in the Alexandria database.

Geometry as POSCAR:
```
CsRePb2
1.0
-3.603 3.603 7.469
3.603 -3.603 7.469
3.603 3.603 -7.469
Cs Re Pb
2 2 4
direct
0.375 0.625 0.750
0.625 0.375 0.250
0.125 0.875 0.250
0.875 0.125 0.750
0.000 0.000 0.000
0.000 0.000 0.500
0.000 0.500 0.000
0.500 0.000 0.500
```

Most stable structure, least stable structure: arrangement b, arrangement a.

Arrangement a

First-principles (PBE) data for a geometry-optimized CsRe3Pb structure, as listed in the Alexandria database.

Geometry as POSCAR:
```
CsRe3Pb
1.0
5.027 0.000 0.000
0.000 5.027 0.000
0.000 0.000 5.027
Cs Re Pb
1 3 1
direct
0.000 0.000 0.000
0.000 0.000 0.500
0.000 0.500 0.000
0.500 0.000 0.000
0.500 0.500 0.500
```

Arrangement b

First-principles (PBE) data for a geometry-optimized CsRe3Pb structure, as listed in the Alexandria database.

Geometry as POSCAR:
```
CsRe3Pb
1.0
5.181 0.000 0.000
0.000 5.181 0.000
0.000 0.000 5.181
Cs Re Pb
1 3 1
direct
0.000 0.000 0.000
0.000 0.500 0.500
0.500 0.000 0.500
0.500 0.500 0.000
0.500 0.500 0.500
```

Most stable structure, least stable structure: arrangement b, arrangement a.